VASP calculation (PBE) on GeIrN after structural relaxation.

a b c (Å): 3.7646 4.6544 5.9906
angles (deg): 90.00 90.00 90.00
Last column: nearest neighbours and their distance in Å.
Element x y z (fractional)
Ge1 0.0000 0.0000 0.0000  1 N 2.06
Ge2 0.5000 0.5000 0.5000  1 N 2.06
Ir1 0.0000 0.5000 0.1661  2 N 1.88
Ir2 0.5000 0.0000 0.6661  2 N 1.88
N1 0.0000 0.0000 0.6564  2 Ir 1.88, 1 Ge 2.06
N2 0.5000 0.5000 0.1564  2 Ir 1.88, 1 Ge 2.06

Values from the calculation:
Excess energy over the best structure of this formula in the dataset: 15.43 kJ/mol of atoms
Raw total energy: -6.8502 eV/atom

=====

VASP calculation (PBE) on NaUNiS4 after structural relaxation.

a b c (Å): 6.3962 5.5849 8.1711
angles (deg): 90.00 106.25 90.00
Last column: nearest neighbours and their distance in Å.
Element x y z (fractional)
Na1 0.2268 0.2500 0.4424  6 S 2.86-3.15
Na2 0.7732 0.7500 0.5576  6 S 2.86-3.15
U1 0.2380 0.2500 0.9381  6 S 2.54-2.82
U2 0.7620 0.7500 0.0619  6 S 2.54-2.82
Ni1 0.2667 0.7500 0.1645  4 S 2.16-2.24
Ni2 0.7333 0.2500 0.8355  4 S 2.16-2.24
S1 0.0582 0.7500 0.3434  1 Ni 2.24
S2 0.0678 0.7500 0.9031  1 Ni 2.16
S3 0.4788 0.5169 0.7789  1 Ni 2.16
S4 0.4788 0.9831 0.7789  1 Ni 2.16
S5 0.5212 0.0169 0.2211  1 Ni 2.16
S6 0.5212 0.4831 0.2211  1 Ni 2.16
S7 0.9322 0.2500 0.0969  1 Ni 2.16
S8 0.9418 0.2500 0.6566  1 Ni 2.24

Values from the calculation:
Raw total energy: -5.9642 eV/atom

=====

VASP calculation (PBE) on Rb3HgBi2 after structural relaxation.

a b c (Å): 7.3804 13.7045 12.4778
angles (deg): 90.00 106.31 90.00
Last column: nearest neighbours and their distance in Å.
Element x y z (fractional)
Rb1 0.1727 0.2291 0.3389  4 Bi 3.75-3.95, 1 Hg 4.10
Rb2 0.1727 0.2709 0.8389  4 Bi 3.75-3.95, 1 Hg 4.10
Rb3 0.2065 0.5970 0.9762  5 Bi 3.79-4.13, 1 Hg 3.95, 1 Rb 4.21
Rb4 0.2065 0.9030 0.4762  5 Bi 3.79-4.13, 1 Hg 3.95, 1 Rb 4.21
Rb5 0.2889 0.5294 0.6051  4 Bi 3.79-4.13, 1 Hg 3.80
Rb6 0.2889 0.9706 0.1051  4 Bi 3.79-4.13, 1 Hg 3.80
Rb7 0.7111 0.0294 0.8949  4 Bi 3.79-4.13, 1 Hg 3.80
Rb8 0.7111 0.4706 0.3949  4 Bi 3.79-4.13, 1 Hg 3.80
Rb9 0.7935 0.0970 0.5238  5 Bi 3.79-4.13, 1 Hg 3.95, 1 Rb 4.21
Rb10 0.7935 0.4030 0.0238  5 Bi 3.79-4.13, 1 Hg 3.95, 1 Rb 4.21
Rb11 0.8273 0.7291 0.1611  4 Bi 3.75-3.95, 1 Hg 4.10
Rb12 0.8273 0.7709 0.6611  4 Bi 3.75-3.95, 1 Hg 4.10
Hg1 0.3904 0.6919 0.3181  2 Bi 2.89-2.90
Hg2 0.3904 0.8081 0.8181  2 Bi 2.89-2.90
Hg3 0.6096 0.1919 0.1819  2 Bi 2.89-2.90
Hg4 0.6096 0.3081 0.6819  2 Bi 2.89-2.90
Bi1 0.1755 0.5119 0.2774  1 Hg 2.90
Bi2 0.1755 0.9881 0.7774  1 Hg 2.90
Bi3 0.3711 0.1369 0.6357  1 Hg 2.89
Bi4 0.3711 0.3631 0.1357  1 Hg 2.89
Bi5 0.6289 0.6369 0.8643  1 Hg 2.89
Bi6 0.6289 0.8631 0.3643  1 Hg 2.89
Bi7 0.8245 0.0119 0.2226  1 Hg 2.90
Bi8 0.8245 0.4881 0.7226  1 Hg 2.90

Values from the calculation:
Excess energy over the best structure of this formula in the dataset: 2.20 kJ/mol of atoms
Raw total energy: -2.1269 eV/atom
Energy relative to the elements: -0.2991 eV/atom

=====

VASP calculation (PBE) on La2NbCl after structural relaxation.

a b c (Å): 7.5704 7.5704 7.5704
angles (deg): 90.00 90.00 90.00
Last column: nearest neighbours and their distance in Å.
Element x y z (fractional)
La1 0.2500 0.2500 0.2500  4 Cl 3.28, 4 Nb 3.28
La2 0.2500 0.2500 0.7500  4 Cl 3.28, 4 Nb 3.28
La3 0.2500 0.7500 0.2500  4 Cl 3.28, 4 Nb 3.28
La4 0.2500 0.7500 0.7500  4 Cl 3.28, 4 Nb 3.28
La5 0.7500 0.2500 0.2500  4 Cl 3.28, 4 Nb 3.28
La6 0.7500 0.2500 0.7500  4 Cl 3.28, 4 Nb 3.28
La7 0.7500 0.7500 0.2500  4 Cl 3.28, 4 Nb 3.28
La8 0.7500 0.7500 0.7500  4 Cl 3.28, 4 Nb 3.28
Nb1 0.0000 0.0000 0.0000  8 La 3.28
Nb2 0.0000 0.5000 0.5000  8 La 3.28
Nb3 0.5000 0.0000 0.5000  8 La 3.28
Nb4 0.5000 0.5000 0.0000  8 La 3.28
Cl1 0.0000 0.0000 0.5000  8 La 3.28
Cl2 0.0000 0.5000 0.0000  8 La 3.28
Cl3 0.5000 0.0000 0.0000  8 La 3.28
Cl4 0.5000 0.5000 0.5000  8 La 3.28

Values from the calculation:
Excess energy over the best structure of this formula in the dataset: 0.00 kJ/mol of atoms
Raw total energy: -5.4000 eV/atom

=====

VASP calculation (PBE) on Sr3CaMo after structural relaxation.

a b c (Å): 6.1901 6.1901 6.1901
angles (deg): 90.00 90.00 90.00
Last column: nearest neighbours and their distance in Å.
Element x y z (fractional)
Sr1 0.0000 0.0000 0.5000  2 Ca 3.10
Sr2 0.0000 0.5000 0.0000  2 Ca 3.10
Sr3 0.5000 0.0000 0.0000  2 Ca 3.10
Ca1 0.0000 0.0000 0.0000  6 Sr 3.10
Mo1 0.5000 0.5000 0.5000  12 Sr 4.38

Values from the calculation:
Excess energy over the best structure of this formula in the dataset: 110.67 kJ/mol of atoms
Raw total energy: -1.7227 eV/atom
Energy relative to the elements: 1.8529 eV/atom

=====

VASP calculation (PBE) on TbErAlGa after structural relaxation.

a b c (Å): 7.1679 7.1679 7.1679
angles (deg): 90.00 90.00 90.00
Last column: nearest neighbours and their distance in Å.
Element x y z (fractional)
Tb1 0.0000 0.0000 0.0000  4 Al 3.10, 4 Ga 3.10
Tb2 0.0000 0.5000 0.5000  4 Al 3.10, 4 Ga 3.10
Tb3 0.5000 0.0000 0.5000  4 Al 3.10, 4 Ga 3.10
Tb4 0.5000 0.5000 0.0000  4 Al 3.10, 4 Ga 3.10
Er1 0.0000 0.0000 0.5000  4 Ga 3.10, 4 Al 3.10
Er2 0.0000 0.5000 0.0000  4 Ga 3.10, 4 Al 3.10
Er3 0.5000 0.0000 0.0000  4 Ga 3.10, 4 Al 3.10
Er4 0.5000 0.5000 0.5000  4 Ga 3.10, 4 Al 3.10
Al1 0.2500 0.2500 0.2500  4 Tb 3.10, 4 Er 3.10
Al2 0.2500 0.7500 0.7500  4 Er 3.10, 4 Tb 3.10
Al3 0.7500 0.2500 0.7500  4 Er 3.10, 4 Tb 3.10
Al4 0.7500 0.7500 0.2500  4 Er 3.10, 4 Tb 3.10
Ga1 0.2500 0.2500 0.7500  4 Tb 3.10, 4 Er 3.10
Ga2 0.2500 0.7500 0.2500  4 Tb 3.10, 4 Er 3.10
Ga3 0.7500 0.2500 0.2500  4 Tb 3.10, 4 Er 3.10
Ga4 0.7500 0.7500 0.7500  4 Tb 3.10, 4 Er 3.10

Values from the calculation:
Excess energy over the best structure of this formula in the dataset: 2.91 kJ/mol of atoms
Raw total energy: -4.4688 eV/atom
Energy relative to the elements: -0.4781 eV/atom

=====

VASP calculation (PBE) on NaErZnGe after structural relaxation.

a b c (Å): 6.9940 6.9940 6.9940
angles (deg): 90.00 90.00 90.00
Last column: nearest neighbours and their distance in Å.
Element x y z (fractional)
Na1 0.0000 0.0000 0.0000  4 Ge 3.03, 4 Zn 3.03
Na2 0.0000 0.5000 0.5000  4 Ge 3.03, 4 Zn 3.03
Na3 0.5000 0.0000 0.5000  4 Ge 3.03, 4 Zn 3.03
Na4 0.5000 0.5000 0.0000  4 Ge 3.03, 4 Zn 3.03
Er1 0.0000 0.0000 0.5000  4 Zn 3.03, 4 Ge 3.03
Er2 0.0000 0.5000 0.0000  4 Zn 3.03, 4 Ge 3.03
Er3 0.5000 0.0000 0.0000  4 Zn 3.03, 4 Ge 3.03
Er4 0.5000 0.5000 0.5000  4 Zn 3.03, 4 Ge 3.03
Zn1 0.2500 0.2500 0.7500  4 Na 3.03, 4 Er 3.03
Zn2 0.2500 0.7500 0.2500  4 Na 3.03, 4 Er 3.03
Zn3 0.7500 0.2500 0.2500  4 Na 3.03, 4 Er 3.03
Zn4 0.7500 0.7500 0.7500  4 Na 3.03, 4 Er 3.03
Ge1 0.2500 0.2500 0.2500  4 Er 3.03, 4 Na 3.03
Ge2 0.2500 0.7500 0.7500  4 Na 3.03, 4 Er 3.03
Ge3 0.7500 0.2500 0.7500  4 Na 3.03, 4 Er 3.03
Ge4 0.7500 0.7500 0.2500  4 Na 3.03, 4 Er 3.03

Values from the calculation:
Raw total energy: -3.2240 eV/atom
Energy relative to the elements: -0.2807 eV/atom

=====

VASP calculation (PBE) on BaMgZr after structural relaxation.

a b c (Å): 3.4894 3.4894 8.6608
angles (deg): 90.00 90.00 120.00
Last column: nearest neighbours and their distance in Å.
Element x y z (fractional)
Ba1 0.0000 0.0000 0.0000  6 Ba 3.49, 3 Zr 3.68, 3 Mg 3.74
Mg1 0.6667 0.3333 0.3641  3 Zr 3.16, 6 Mg 3.49
Zr1 0.3333 0.6667 0.6445  3 Mg 3.16, 6 Zr 3.49

Values from the calculation:
Excess energy over the best structure of this formula in the dataset: 20.21 kJ/mol of atoms
Raw total energy: -3.5808 eV/atom
Energy relative to the elements: 0.4410 eV/atom

=====

VASP calculation (PBE) on KSr2Ag2 after structural relaxation.

a b c (Å): 9.5734 9.5734 3.8536
angles (deg): 90.00 90.00 90.00
Last column: nearest neighbours and their distance in Å.
Element x y z (fractional)
K1 0.0000 0.0000 0.0000  4 Sr 3.70, 2 K 3.85, 8 Ag 4.12
K2 0.5000 0.5000 0.0000  4 Sr 3.70, 2 K 3.85, 8 Ag 4.12
Sr1 0.1396 0.3604 0.0000  6 Ag 3.39-3.43, 2 K 3.70, 1 Sr 3.78
Sr2 0.3604 0.8604 0.0000  6 Ag 3.39-3.43, 2 K 3.70, 1 Sr 3.78
Sr3 0.6396 0.1396 0.0000  6 Ag 3.39-3.43, 2 K 3.70, 1 Sr 3.78
Sr4 0.8604 0.6396 0.0000  6 Ag 3.39-3.43, 2 K 3.70, 1 Sr 3.78
Ag1 0.1512 0.6512 0.5000  6 Sr 3.39-3.43
Ag2 0.3488 0.1512 0.5000  6 Sr 3.39-3.43
Ag3 0.6512 0.8488 0.5000  6 Sr 3.39-3.43
Ag4 0.8488 0.3488 0.5000  6 Sr 3.39-3.43

Values from the calculation:
Excess energy over the best structure of this formula in the dataset: 8.44 kJ/mol of atoms
Raw total energy: -2.1016 eV/atom
Energy relative to the elements: -0.0688 eV/atom

=====

VASP calculation (PBE) on Tb4PuSc3Se8 after structural relaxation.

a b c (Å): 8.0456 8.0456 8.0456
angles (deg): 59.95 59.95 59.95
Last column: nearest neighbours and their distance in Å.
Element x y z (fractional)
Tb1 0.0000 0.0000 0.0000  6 Se 2.84
Tb2 0.0000 0.5000 0.5000  6 Se 2.91
Tb3 0.5000 0.0000 0.5000  6 Se 2.91
Tb4 0.5000 0.5000 0.0000  6 Se 2.91
Pu1 0.5000 0.5000 0.5000  6 Se 2.85
Sc1 0.0000 0.0000 0.5000  6 Se 2.78
Sc2 0.0000 0.5000 0.0000  6 Se 2.78
Sc3 0.5000 0.0000 0.0000  6 Se 2.78
Se1 0.2382 0.7508 0.7508  2 Sc 2.78, 3 Tb 2.84-2.91, 1 Pu 2.85
Se2 0.2444 0.2444 0.2444  3 Sc 2.78, 3 Tb 2.91
Se3 0.2492 0.2492 0.7618  2 Sc 2.78, 3 Tb 2.84-2.91, 1 Pu 2.85
Se4 0.2492 0.7618 0.2492  2 Sc 2.78, 3 Tb 2.84-2.91, 1 Pu 2.85
Se5 0.7508 0.2382 0.7508  2 Sc 2.78, 3 Tb 2.84-2.91, 1 Pu 2.85
Se6 0.7508 0.7508 0.2382  2 Sc 2.78, 3 Tb 2.84-2.91, 1 Pu 2.85
Se7 0.7556 0.7556 0.7556  3 Sc 2.78, 3 Tb 2.91
Se8 0.7618 0.2492 0.2492  2 Sc 2.78, 3 Tb 2.84-2.91, 1 Pu 2.85

Values from the calculation:
Raw total energy: -6.6541 eV/atom

=====

VASP calculation (PBE) on K3Dy3MoS8 after structural relaxation.

a b c (Å): 8.7755 8.7755 8.7755
angles (deg): 53.06 53.06 53.06
Last column: nearest neighbours and their distance in Å.
Element x y z (fractional)
K1 0.0000 0.5000 0.5000  6 S 3.18-3.20
K2 0.5000 0.0000 0.5000  6 S 3.18-3.20
K3 0.5000 0.5000 0.0000  6 S 3.18-3.20
Dy1 0.0000 0.0000 0.5000  6 S 2.73-2.75
Dy2 0.0000 0.5000 0.0000  6 S 2.73-2.75
Dy3 0.5000 0.0000 0.0000  6 S 2.73-2.75
Mo1 0.5000 0.5000 0.5000  6 S 2.53
S1 0.2343 0.2343 0.2343  3 Dy 2.73
S2 0.2555 0.7168 0.7168  1 Mo 2.53, 2 Dy 2.75
S3 0.2832 0.2832 0.7445  1 Mo 2.53, 2 Dy 2.75
S4 0.2832 0.7445 0.2832  1 Mo 2.53, 2 Dy 2.75
S5 0.7168 0.2555 0.7168  1 Mo 2.53, 2 Dy 2.75
S6 0.7168 0.7168 0.2555  1 Mo 2.53, 2 Dy 2.75
S7 0.7445 0.2832 0.2832  1 Mo 2.53, 2 Dy 2.75
S8 0.7657 0.7657 0.7657  3 Dy 2.73

Values from the calculation:
Raw total energy: -5.6162 eV/atom

=====

VASP calculation (PBE) on HoFeSn2 after structural relaxation.

a b c (Å): 4.4013 4.4013 15.7854
angles (deg): 90.00 90.00 120.00
Last column: nearest neighbours and their distance in Å.
Element x y z (fractional)
Ho1 0.0000 0.0000 0.0000  6 Sn 3.07
Ho2 0.3333 0.6667 0.6667  6 Sn 3.07
Ho3 0.6667 0.3333 0.3333  6 Sn 3.07
Fe1 0.0000 0.0000 0.5000  6 Sn 2.70
Fe2 0.3333 0.6667 0.1667  6 Sn 2.70
Fe3 0.6667 0.3333 0.8333  6 Sn 2.70
Sn1 0.0000 0.0000 0.2238  3 Fe 2.70
Sn2 0.0000 0.0000 0.7762  3 Fe 2.70
Sn3 0.3333 0.6667 0.4428  3 Fe 2.70
Sn4 0.3333 0.6667 0.8905  3 Fe 2.70
Sn5 0.6667 0.3333 0.1095  3 Fe 2.70
Sn6 0.6667 0.3333 0.5572  3 Fe 2.70

Values from the calculation:
Raw total energy: -5.4697 eV/atom
Energy relative to the elements: -0.2082 eV/atom